Below is crystalline Pm3Al3Hg at its relaxed geometry, with properties calculated at the PBE level.

The energy comes out at -114.65 eV for the cell shown. The value obtained for the formation energy is -0.412 eV/atom. The calculation puts the magnetic moment at 0.0009 μB/atom. The value obtained for the theoretical density is 6.58 g/cm3. The density of states at the Fermi level is 6.080 states/eV/f.u. The calculated volume comes out at 181 Å³/f.u.

a b c (Å): 11.197 4.635 14.740
angles (deg): 90.00 109.10 90.00
Space group C2/m (No. 12)
Asymmetric unit:
Pm (0.037, 0.000, 0.379)
Pm (0.099, 0.000, 0.919)
Pm (0.243, 0.000, 0.217)
Al (0.038, 0.500, 0.230)
Al (0.107, 0.500, 0.072)
Al (0.126, 0.500, 0.543)
Hg (0.250, 0.000, 0.609)



Below is crystalline Pm4AlHg at its relaxed geometry, with properties calculated at the PBE level.

The energy comes out at -23.36 eV for the cell shown. The value obtained for the formation energy is -0.053 eV/atom. Its energy above the lowest structure with this stoichiometry is 0.015 eV per atom. The calculation puts the magnetic moment at 0.0000 μB/atom. The value obtained for the theoretical density is 7.12 g/cm3. The density of states at the Fermi level is 6.566 states/eV/f.u. The calculated volume comes out at 188 Å³/f.u.

a b c (Å): 3.807 5.757 8.591
angles (deg): 90.00 90.00 90.00
Space group Pmmm (No. 47)
Asymmetric unit:
Pm (0.000, 0.000, 0.205)
Pm (0.500, 0.500, 0.283)
Al (0.000, 0.500, 0.000)
Hg (0.500, 0.000, 0.500)



Below is crystalline Pm4AlHg3 at its relaxed geometry, with properties calculated at the PBE level.

The energy comes out at -27.20 eV for the cell shown. The value obtained for the formation energy is -0.443 eV/atom. The calculation puts the magnetic moment at 0.1267 μB/atom. The value obtained for the theoretical density is 9.25 g/cm3. The density of states at the Fermi level is 8.202 states/eV/f.u. The calculated volume comes out at 217 Å³/f.u.

a b c (Å): 3.758 3.758 15.374
angles (deg): 90.00 90.00 90.00
Space group P4/mmm (No. 123)
Asymmetric unit:
Pm (0.000, 0.000, 0.118)
Pm (0.000, 0.000, 0.373)
Al (0.500, 0.500, 0.000)
Hg (0.500, 0.500, 0.244)
Hg (0.500, 0.500, 0.500)



Below is crystalline Pm4Al3Hg at its relaxed geometry, with properties calculated at the PBE level.

The energy comes out at -33.45 eV for the cell shown. The value obtained for the formation energy is -0.365 eV/atom. Its energy above the lowest structure with this stoichiometry is 0.029 eV per atom. The calculation puts the magnetic moment at 0.0005 μB/atom. The value obtained for the theoretical density is 6.69 g/cm3. The density of states at the Fermi level is 7.232 states/eV/f.u. The calculated volume comes out at 214 Å³/f.u.

a b c (Å): 3.826 4.623 12.094
angles (deg): 90.00 90.00 90.00
Space group Pmm2 (No. 25)
Asymmetric unit:
Pm (0.000, 0.000, 0.000)
Pm (0.000, 0.500, 0.303)
Pm (0.500, 0.000, 0.494)
Pm (0.500, 0.500, 0.805)
Al (0.000, 0.500, 0.580)
Al (0.500, 0.000, 0.217)
Al (0.500, 0.500, 0.085)
Hg (0.000, 0.000, 0.720)



Below is crystalline Pm2AlHg3 at its relaxed geometry, with properties calculated at the PBE level.

The energy comes out at -134.04 eV for the cell shown. The value obtained for the formation energy is -0.434 eV/atom. The calculation puts the magnetic moment at 0.0003 μB/atom. The value obtained for the theoretical density is 10.20 g/cm3. The density of states at the Fermi level is 5.045 states/eV/f.u. The calculated volume comes out at 150 Å³/f.u.

a b c (Å): 7.361 9.674 16.801
angles (deg): 90.00 90.00 90.00
Space group Fmmm (No. 69)
Asymmetric unit:
Pm (0.240, 0.000, 0.000)
Pm (0.250, 0.250, 0.250)
Al (0.000, 0.000, 0.333)
Hg (0.000, 0.000, 0.172)
Hg (0.000, 0.240, 0.414)



Below is crystalline Pm2Al3Hg4 at its relaxed geometry, with properties calculated at the PBE level.

The energy comes out at -98.23 eV for the cell shown. The value obtained for the formation energy is -0.291 eV/atom. The calculation puts the magnetic moment at 0.0000 μB/atom. The value obtained for the theoretical density is 9.53 g/cm3. The density of states at the Fermi level is 5.917 states/eV/f.u. The calculated volume comes out at 204 Å³/f.u.

a b c (Å): 6.242 15.891 8.241
angles (deg): 90.00 90.00 90.00
Space group Cmce (No. 64)
Asymmetric unit:
Pm (0.000, 0.111, 0.094)
Al (0.000, 0.000, 0.500)
Al (0.250, 0.226, 0.750)
Hg (0.000, 0.180, 0.472)
Hg (0.250, 0.054, 0.750)



Below is crystalline Pm2AlHg6 at its relaxed geometry, with properties calculated at the PBE level.

The energy comes out at -35.32 eV for the cell shown. The value obtained for the formation energy is -0.290 eV/atom. The calculation puts the magnetic moment at 0.0000 μB/atom. The value obtained for the theoretical density is 11.51 g/cm3. The density of states at the Fermi level is 5.816 states/eV/f.u. The calculated volume comes out at 219 Å³/f.u.

a b c (Å): 11.450 6.624 5.785
angles (deg): 90.00 90.19 90.00
Space group C2/m (No. 12)
Asymmetric unit:
Pm (0.167, 0.000, 0.303)
Al (0.000, 0.500, 0.500)
Hg (0.090, 0.231, 0.805)
Hg (0.179, 0.500, 0.196)



Below is crystalline Pm3AlHg at its relaxed geometry, with properties calculated at the PBE level.

The energy comes out at -79.03 eV for the cell shown. The value obtained for the formation energy is -0.292 eV/atom. The calculation puts the magnetic moment at 0.0000 μB/atom. The value obtained for the theoretical density is 7.75 g/cm3. The density of states at the Fermi level is 6.065 states/eV/f.u. The calculated volume comes out at 142 Å³/f.u.

a b c (Å): 5.358 19.681 5.386
angles (deg): 90.00 90.00 90.00
Space group Cmcm (No. 63)
Asymmetric unit:
Pm (0.000, 0.058, 0.250)
Pm (0.000, 0.247, 0.250)
Pm (0.000, 0.432, 0.250)
Al (0.000, 0.154, 0.750)
Hg (0.000, 0.346, 0.750)



Below is crystalline Pm2AlHg8 at its relaxed geometry, with properties calculated at the PBE level.

The energy comes out at -18.61 eV for the cell shown. The value obtained for the formation energy is -0.269 eV/atom. The calculation puts the magnetic moment at 0.0000 μB/atom. The value obtained for the theoretical density is 11.63 g/cm3. The density of states at the Fermi level is 4.783 states/eV/f.u. The calculated volume comes out at 274 Å³/f.u.

a b c (Å): 4.669 4.669 12.590
angles (deg): 90.00 90.00 90.00
Space group P4/mmm (No. 123)
Asymmetric unit:
Pm (0.000, 0.000, 0.192)
Al (0.000, 0.000, 0.500)
Hg (0.000, 0.500, 0.000)
Hg (0.000, 0.500, 0.373)
Hg (0.500, 0.500, 0.193)



Below is crystalline PmAlHg at its relaxed geometry, with properties calculated at the PBE level.

The energy comes out at -19.20 eV for the cell shown. The value obtained for the formation energy is -0.268 eV/atom. Its energy above the lowest structure with this stoichiometry is 0.206 eV per atom. The calculation puts the magnetic moment at 0.0000 μB/atom. The value obtained for the theoretical density is 8.65 g/cm3. The density of states at the Fermi level is 2.037 states/eV/f.u. The calculated volume comes out at 72 Å³/f.u.

a b c (Å): 3.513 3.513 11.589
angles (deg): 90.00 90.00 90.00
Space group I4mm (No. 107)
Asymmetric unit:
Pm (0.000, 0.000, 0.000)
Al (0.000, 0.000, 0.322)
Hg (0.000, 0.000, 0.690)



Below is crystalline PmAlHg2 at its relaxed geometry, with properties calculated at the PBE level.

The energy comes out at -10.28 eV for the cell shown. The value obtained for the formation energy is -0.295 eV/atom. The calculation puts the magnetic moment at 0.0000 μB/atom. The value obtained for the theoretical density is 9.98 g/cm3. The density of states at the Fermi level is 4.072 states/eV/f.u. The calculated volume comes out at 95 Å³/f.u.

a b c (Å): 4.602 4.602 4.506
angles (deg): 90.00 90.00 90.00
Space group P4/mmm (No. 123)
Asymmetric unit:
Pm (0.000, 0.000, 0.000)
Al (0.500, 0.500, 0.000)
Hg (0.000, 0.500, 0.500)



Below is crystalline PmAlHg6 at its relaxed geometry, with properties calculated at the PBE level.

The energy comes out at -26.32 eV for the cell shown. The value obtained for the formation energy is 0.191 eV/atom. The calculation puts the magnetic moment at 0.0000 μB/atom. The value obtained for the theoretical density is 8.64 g/cm3. The density of states at the Fermi level is 3.935 states/eV/f.u. The calculated volume comes out at 264 Å³/f.u.

a b c (Å): 6.1466 6.1466 24.2414
angles (deg): 90.00 90.00 120.00
Space group R-3m (No. 166, hexagonal axes)
Asymmetric unit:
Pm (0.0000, 0.0000, 0.0000)
Al (0.0000, 0.0000, 0.5000)
Hg (0.0084, 0.5042, 0.4372)



Below is crystalline Pm12AlHg6 at its relaxed geometry, with properties calculated at the PBE level.

The energy comes out at -200.59 eV for the cell shown. The value obtained for the formation energy is -0.226 eV/atom. The calculation puts the magnetic moment at 0.0000 μB/atom. The value obtained for the theoretical density is 9.12 g/cm3. The density of states at the Fermi level is 24.002 states/eV/f.u. The calculated volume comes out at 541 Å³/f.u.

a b c (Å): 14.9912 14.9912 8.3376
angles (deg): 90.00 90.00 120.00
Space group R-3 (No. 148, hexagonal axes)
Asymmetric unit:
Pm (0.0019, 0.8649, 0.1701)
Pm (0.0673, 0.4987, 0.1695)
Al (0.0000, 0.0000, 0.5000)
Hg (0.0240, 0.7534, 0.8313)



Below is crystalline PmAlHgPt at its relaxed geometry, with properties calculated at the PBE level.

The energy comes out at -68.82 eV for the cell shown. The value obtained for the formation energy is -0.592 eV/atom. The calculation puts the magnetic moment at 0.0000 μB/atom. The value obtained for the theoretical density is 11.25 g/cm3. The density of states at the Fermi level is 1.344 states/eV/f.u. The calculated volume comes out at 84 Å³/f.u.

a b c (Å): 6.947 6.947 6.947
angles (deg): 90.00 90.00 90.00
Space group F-43m (No. 216)
Asymmetric unit:
Pm (0.000, 0.000, 0.000)
Al (0.000, 0.000, 0.500)
Hg (0.250, 0.250, 0.250)
Pt (0.250, 0.250, 0.750)



Below is crystalline PmPuAlHg at its relaxed geometry, with properties calculated at the PBE level.

The energy comes out at -95.67 eV for the cell shown. The value obtained for the formation energy is -0.198 eV/atom. The calculation puts the magnetic moment at 1.5946 μB/atom. The value obtained for the theoretical density is 9.78 g/cm3. The density of states at the Fermi level is 8.833 states/eV/f.u. The calculated volume comes out at 105 Å³/f.u.

a b c (Å): 7.481 7.481 7.481
angles (deg): 90.00 90.00 90.00
Space group F-43m (No. 216)
Asymmetric unit:
Pm (0.000, 0.000, 0.000)
Pu (0.000, 0.000, 0.500)
Al (0.250, 0.250, 0.250)
Hg (0.250, 0.250, 0.750)



Below is crystalline PmSc2AlHg4 at its relaxed geometry, with properties calculated at the PBE level.

The energy comes out at -74.60 eV for the cell shown. The value obtained for the formation energy is -0.313 eV/atom. The calculation puts the magnetic moment at 0.0000 μB/atom. The value obtained for the theoretical density is 9.48 g/cm3. The density of states at the Fermi level is 5.964 states/eV/f.u. The calculated volume comes out at 186 Å³/f.u.

a b c (Å): 4.8573 4.8573 27.3792
angles (deg): 90.00 90.00 120.00
Space group R-3m (No. 166, hexagonal axes)
Asymmetric unit:
Pm (0.0000, 0.0000, 0.0000)
Sc (0.0000, 0.0000, 0.2344)
Al (0.0000, 0.0000, 0.5000)
Hg (0.0000, 0.0000, 0.1237)
Hg (0.0000, 0.0000, 0.3887)



Below is crystalline TbPmAlHg at its relaxed geometry, with properties calculated at the PBE level.

The energy comes out at -60.00 eV for the cell shown. The value obtained for the formation energy is -0.393 eV/atom. Its energy above the lowest structure with this stoichiometry is 0.041 eV per atom. The calculation puts the magnetic moment at 0.0003 μB/atom. The value obtained for the theoretical density is 8.44 g/cm3. The density of states at the Fermi level is 4.976 states/eV/f.u. The calculated volume comes out at 105 Å³/f.u.

a b c (Å): 7.480 7.480 7.480
angles (deg): 90.00 90.00 90.00
Space group F-43m (No. 216)
Asymmetric unit:
Tb (0.000, 0.000, 0.000)
Pm (0.000, 0.000, 0.500)
Al (0.250, 0.250, 0.250)
Hg (0.250, 0.250, 0.750)



Below is crystalline TbPmAlHg at its relaxed geometry, with properties calculated at the PBE level.

The energy comes out at -15.16 eV for the cell shown. The value obtained for the formation energy is -0.434 eV/atom. Its energy above the lowest structure with this stoichiometry is 0.000 eV per atom. The calculation puts the magnetic moment at 0.0000 μB/atom. The value obtained for the theoretical density is 8.63 g/cm3. The density of states at the Fermi level is 1.812 states/eV/f.u. The calculated volume comes out at 102 Å³/f.u.

a b c (Å): 3.560 3.560 8.070
angles (deg): 90.00 90.00 90.00
Space group P4mm (No. 99)
Asymmetric unit:
Tb (0.000, 0.000, 0.000)
Pm (0.000, 0.000, 0.479)
Al (0.500, 0.500, 0.235)
Hg (0.500, 0.500, 0.751)



Below is crystalline PmThAlHg at its relaxed geometry, with properties calculated at the PBE level.

The energy comes out at -69.36 eV for the cell shown. The value obtained for the formation energy is -0.281 eV/atom. The calculation puts the magnetic moment at 0.0000 μB/atom. The value obtained for the theoretical density is 9.29 g/cm3. The density of states at the Fermi level is 3.733 states/eV/f.u. The calculated volume comes out at 108 Å³/f.u.

a b c (Å): 7.562 7.562 7.562
angles (deg): 90.00 90.00 90.00
Space group F-43m (No. 216)
Asymmetric unit:
Pm (0.000, 0.000, 0.000)
Th (0.000, 0.000, 0.500)
Al (0.250, 0.250, 0.250)
Hg (0.250, 0.250, 0.750)



Below is crystalline Pm4AlTlHg2 at its relaxed geometry, with properties calculated at the PBE level.

The energy comes out at -87.05 eV for the cell shown. The value obtained for the formation energy is -0.413 eV/atom. The calculation puts the magnetic moment at 0.0014 μB/atom. The value obtained for the theoretical density is 9.06 g/cm3. The density of states at the Fermi level is 10.731 states/eV/f.u. The calculated volume comes out at 222 Å³/f.u.

a b c (Å): 5.3897 5.3897 26.5024
angles (deg): 90.00 90.00 120.00
Space group R-3m (No. 166, hexagonal axes)
Asymmetric unit:
Pm (0.0000, 0.0000, 0.1217)
Pm (0.0000, 0.0000, 0.3718)
Al (0.0000, 0.0000, 0.0000)
Tl (0.0000, 0.0000, 0.5000)
Hg (0.0000, 0.0000, 0.2502)